Record 1
{"formula": "MnZn3Ga", "functional": "PBE-GGA", "state": "optimized geometry", "lattice": [[6.025, -3.944, 0.000], [6.025, 3.944, 0.000], [-5.663, 0.000, 6.130]], "species": ["Mn", "Mn", "Mn", "Mn", "Zn", "Zn", "Zn", "Zn", "Zn", "Zn", "Zn", "Zn", "Zn", "Zn", "Zn", "Zn", "Ga", "Ga", "Ga", "Ga"], "frac_coords": [[0.032, 0.780, 0.863], [0.220, 0.968, 0.637], [0.780, 0.032, 0.363], [0.968, 0.220, 0.137], [0.080, 0.329, 0.554], [0.179, 0.422, 0.945], [0.264, 0.526, 0.342], [0.329, 0.080, 0.054], [0.422, 0.179, 0.445], [0.474, 0.736, 0.158], [0.526, 0.264, 0.842], [0.578, 0.821, 0.555], [0.671, 0.920, 0.946], [0.736, 0.474, 0.658], [0.821, 0.578, 0.055], [0.920, 0.671, 0.446], [0.106, 0.894, 0.250], [0.360, 0.640, 0.750], [0.640, 0.360, 0.250], [0.894, 0.106, 0.750]], "m_tot_mub_per_atom": 0.53, "e_form_ev_per_atom": 0.0303, "relative_energy_ev_per_fu": 0.000}

=====

Record 2
{"formula": "MnZnGa3", "functional": "PBE-GGA", "state": "optimized geometry", "lattice": [[4.958, 0.000, 0.000], [0.000, 4.958, 0.000], [0.000, 0.000, 4.958]], "species": ["Mn", "Zn", "Ga", "Ga", "Ga"], "frac_coords": [[0.000, 0.000, 0.000], [0.500, 0.500, 0.500], [0.000, 0.500, 0.500], [0.500, 0.000, 0.500], [0.500, 0.500, 0.000]], "m_tot_mub_per_atom": 0.12, "e_form_ev_per_atom": 1.1240, "relative_energy_ev_per_fu": 4.261}

=====

Record 3
{"formula": "Mn3Zn3Ga2", "functional": "PBE-GGA", "state": "optimized geometry", "lattice": [[4.276, 0.000, 0.000], [0.000, 10.574, 0.000], [0.000, 0.000, 4.943]], "species": ["Mn", "Mn", "Mn", "Mn", "Mn", "Mn", "Zn", "Zn", "Zn", "Zn", "Zn", "Zn", "Ga", "Ga", "Ga", "Ga"], "frac_coords": [[0.250, 0.134, 0.139], [0.250, 0.366, 0.139], [0.250, 0.750, 0.672], [0.750, 0.250, 0.328], [0.750, 0.634, 0.861], [0.750, 0.866, 0.861], [0.250, 0.250, 0.630], [0.250, 0.502, 0.653], [0.250, 0.998, 0.653], [0.750, 0.002, 0.347], [0.750, 0.498, 0.347], [0.750, 0.750, 0.370], [0.250, 0.621, 0.148], [0.250, 0.879, 0.148], [0.750, 0.121, 0.852], [0.750, 0.379, 0.852]], "m_tot_mub_per_atom": 0.96, "e_form_ev_per_atom": 0.1133}

=====

Record 4
{"formula": "MnZnGa3", "functional": "PBE-GGA", "state": "optimized geometry", "lattice": [[4.774, 0.000, 0.000], [0.000, 4.774, 0.000], [0.000, 0.000, 4.774]], "species": ["Mn", "Zn", "Ga", "Ga", "Ga"], "frac_coords": [[0.000, 0.000, 0.000], [0.500, 0.500, 0.500], [0.000, 0.000, 0.500], [0.000, 0.500, 0.000], [0.500, 0.000, 0.000]], "m_tot_mub_per_atom": 0.36, "e_form_ev_per_atom": 0.2718, "relative_energy_ev_per_fu": 0.000}

=====

Record 5
{"formula": "Mn2Zn3Ga", "functional": "PBE-GGA", "state": "optimized geometry", "lattice": [[4.572, -2.118, 0.000], [4.572, 2.118, 0.000], [-2.603, 0.000, 8.753]], "species": ["Mn", "Mn", "Mn", "Mn", "Zn", "Zn", "Zn", "Zn", "Zn", "Zn", "Ga", "Ga"], "frac_coords": [[0.124, 0.124, 0.127], [0.373, 0.373, 0.376], [0.627, 0.627, 0.624], [0.876, 0.876, 0.873], [0.080, 0.080, 0.415], [0.165, 0.165, 0.837], [0.414, 0.414, 0.080], [0.586, 0.586, 0.920], [0.835, 0.835, 0.163], [0.920, 0.920, 0.585], [0.334, 0.334, 0.670], [0.666, 0.666, 0.330]], "m_tot_mub_per_atom": 0.99, "e_form_ev_per_atom": 0.0113}

=====

Record 6
{"formula": "MnZn2Ga", "functional": "PBE-GGA", "state": "optimized geometry", "lattice": [[6.144, 0.000, 0.000], [0.000, 6.144, 0.000], [0.000, 0.000, 6.144]], "species": ["Mn", "Mn", "Mn", "Mn", "Zn", "Zn", "Zn", "Zn", "Zn", "Zn", "Zn", "Zn", "Ga", "Ga", "Ga", "Ga"], "frac_coords": [[0.000, 0.000, 0.000], [0.000, 0.500, 0.500], [0.500, 0.000, 0.500], [0.500, 0.500, 0.000], [0.000, 0.000, 0.500], [0.000, 0.500, 0.000], [0.250, 0.250, 0.250], [0.250, 0.750, 0.750], [0.500, 0.000, 0.000], [0.500, 0.500, 0.500], [0.750, 0.250, 0.750], [0.750, 0.750, 0.250], [0.250, 0.250, 0.750], [0.250, 0.750, 0.250], [0.750, 0.250, 0.250], [0.750, 0.750, 0.750]], "m_tot_mub_per_atom": 0.77, "e_form_ev_per_atom": 0.0952}

=====

Record 7
{"formula": "MnZn6Ga", "functional": "PBE-GGA", "state": "optimized geometry", "lattice": [[3.569, 2.060, 3.224], [-3.569, 2.060, 3.224], [0.000, -4.121, 3.224]], "species": ["Mn", "Zn", "Zn", "Zn", "Zn", "Zn", "Zn", "Ga"], "frac_coords": [[0.000, 0.000, 0.000], [0.032, 0.662, 0.662], [0.338, 0.338, 0.968], [0.338, 0.968, 0.338], [0.662, 0.032, 0.662], [0.662, 0.662, 0.032], [0.968, 0.338, 0.338], [0.500, 0.500, 0.500]], "m_tot_mub_per_atom": 0.47, "e_form_ev_per_atom": 0.2650, "relative_energy_ev_per_fu": 1.854}

=====

Record 8
{"formula": "MnZnGa", "functional": "PBE-GGA", "state": "optimized geometry", "lattice": [[4.251, 0.000, 0.000], [-2.125, 3.681, 0.000], [0.000, 0.000, 2.786]], "species": ["Mn", "Zn", "Ga"], "frac_coords": [[0.000, 0.000, 0.000], [0.333, 0.667, 0.498], [0.667, 0.333, 0.503]], "m_tot_mub_per_atom": 1.05, "e_form_ev_per_atom": 0.0205}

=====

Record 9
{"formula": "MnZn2Ga", "functional": "PBE-GGA", "state": "optimized geometry", "lattice": [[3.788, 0.000, 0.000], [0.000, 3.788, 0.000], [0.000, 0.000, 3.918]], "species": ["Mn", "Zn", "Zn", "Ga"], "frac_coords": [[0.000, 0.000, 0.000], [0.000, 0.500, 0.500], [0.500, 0.000, 0.500], [0.500, 0.500, 0.000]], "m_tot_mub_per_atom": 0.67, "e_form_ev_per_atom": -0.0597}

=====

Record 10
{"formula": "MnZn3Ga", "functional": "PBE-GGA", "state": "optimized geometry", "lattice": [[4.787, 0.000, 0.000], [0.000, 4.787, 0.000], [0.000, 0.000, 4.787]], "species": ["Mn", "Zn", "Zn", "Zn", "Ga"], "frac_coords": [[0.000, 0.000, 0.000], [0.000, 0.000, 0.500], [0.000, 0.500, 0.000], [0.500, 0.000, 0.000], [0.500, 0.500, 0.500]], "m_tot_mub_per_atom": 0.55, "e_form_ev_per_atom": 0.6003, "relative_energy_ev_per_fu": 2.850}

=====

Record 11
{"formula": "MnZnGa", "functional": "PBE-GGA", "state": "optimized geometry", "lattice": [[3.905, 0.000, 0.000], [0.000, 11.267, 0.000], [0.000, 0.000, 3.894]], "species": ["Mn", "Mn", "Mn", "Mn", "Zn", "Zn", "Zn", "Zn", "Ga", "Ga", "Ga", "Ga"], "frac_coords": [[0.000, 0.248, 0.250], [0.000, 0.752, 0.750], [0.500, 0.252, 0.750], [0.500, 0.748, 0.250], [0.000, 0.089, 0.750], [0.000, 0.911, 0.250], [0.500, 0.411, 0.250], [0.500, 0.589, 0.750], [0.000, 0.402, 0.750], [0.000, 0.598, 0.250], [0.500, 0.098, 0.250], [0.500, 0.902, 0.750]], "m_tot_mub_per_atom": 0.88, "e_form_ev_per_atom": -0.0088}

=====

Record 12
{"formula": "MnZn2Ga", "functional": "PBE-GGA", "state": "optimized geometry", "lattice": [[2.689, 0.000, 0.000], [0.000, 4.711, 0.000], [-0.073, 0.000, 4.631]], "species": ["Mn", "Zn", "Zn", "Ga"], "frac_coords": [[0.000, 0.000, 0.000], [0.280, 0.500, 0.760], [0.720, 0.500, 0.240], [0.500, 0.000, 0.500]], "m_tot_mub_per_atom": 0.70, "e_form_ev_per_atom": 0.0492}

=====

Record 13
{"formula": "MnZnGa", "functional": "PBE-GGA", "state": "optimized geometry", "lattice": [[2.739, 0.000, 0.000], [0.000, 2.739, 0.000], [0.000, 0.000, 11.530]], "species": ["Mn", "Mn", "Zn", "Zn", "Ga", "Ga"], "frac_coords": [[0.000, 0.000, 0.000], [0.500, 0.500, 0.500], [0.000, 0.000, 0.659], [0.500, 0.500, 0.159], [0.000, 0.000, 0.344], [0.500, 0.500, 0.844]], "m_tot_mub_per_atom": 0.96, "e_form_ev_per_atom": 0.0082}

=====

Record 14
{"formula": "ZrMnGa2", "functional": "PBE-GGA", "state": "optimized geometry", "lattice": [[4.062, 0.000, 0.000], [0.000, 4.062, 0.000], [0.000, 0.000, 4.046]], "species": ["Zr", "Mn", "Ga", "Ga"], "frac_coords": [[0.000, 0.000, 0.000], [0.500, 0.500, 0.000], [0.000, 0.500, 0.500], [0.500, 0.000, 0.500]], "m_tot_mub_per_atom": 0.76, "e_form_ev_per_atom": -0.3413}

=====

Record 15
{"formula": "Zr2MnGa", "functional": "PBE-GGA", "state": "optimized geometry", "lattice": [[3.281, 0.000, 0.000], [0.000, 3.281, 0.000], [0.000, 0.000, 6.551]], "species": ["Zr", "Zr", "Mn", "Ga"], "frac_coords": [[0.000, 0.000, 0.233], [0.000, 0.000, 0.767], [0.500, 0.500, 0.000], [0.500, 0.500, 0.500]], "m_tot_mub_per_atom": 0.00, "e_form_ev_per_atom": -0.3031}

=====

Record 16
{"formula": "ZrMn2Ga", "functional": "PBE-GGA", "state": "optimized geometry", "lattice": [[4.158, 0.000, 0.000], [0.000, 4.158, 0.000], [0.000, 0.000, 3.441]], "species": ["Zr", "Mn", "Mn", "Ga"], "frac_coords": [[0.000, 0.000, 0.000], [0.000, 0.500, 0.500], [0.500, 0.000, 0.500], [0.500, 0.500, 0.000]], "m_tot_mub_per_atom": 0.85, "e_form_ev_per_atom": -0.1511}

=====

Record 17
{"formula": "ZrMnGa2", "functional": "PBE-GGA", "state": "optimized geometry", "lattice": [[3.853, 0.000, 0.000], [0.000, 3.853, 0.000], [0.000, 0.000, 19.367]], "species": ["Zr", "Zr", "Zr", "Zr", "Mn", "Mn", "Mn", "Mn", "Ga", "Ga", "Ga", "Ga", "Ga", "Ga", "Ga", "Ga"], "frac_coords": [[0.000, 0.000, 0.000], [0.000, 0.500, 0.250], [0.500, 0.000, 0.750], [0.500, 0.500, 0.500], [0.000, 0.000, 0.500], [0.000, 0.500, 0.750], [0.500, 0.000, 0.250], [0.500, 0.500, 0.000], [0.231, 0.250, 0.625], [0.250, 0.731, 0.875], [0.250, 0.769, 0.375], [0.269, 0.250, 0.125], [0.731, 0.750, 0.125], [0.750, 0.231, 0.375], [0.750, 0.269, 0.875], [0.769, 0.750, 0.625]], "m_tot_mub_per_atom": 0.43, "e_form_ev_per_atom": 0.1099}

=====

Record 18
{"formula": "Zr3MnGa", "functional": "PBE-GGA", "state": "optimized geometry", "lattice": [[4.914, 0.000, 0.000], [0.000, 4.914, 0.000], [0.000, 0.000, 4.914]], "species": ["Zr", "Zr", "Zr", "Mn", "Ga"], "frac_coords": [[0.000, 0.000, 0.500], [0.000, 0.500, 0.000], [0.500, 0.000, 0.000], [0.500, 0.500, 0.500], [0.000, 0.000, 0.000]], "m_tot_mub_per_atom": 0.00, "e_form_ev_per_atom": 1.0925}

=====

Record 19
{"formula": "ZrMnGa2", "functional": "PBE-GGA", "state": "optimized geometry", "lattice": [[6.270, 0.000, 0.000], [0.000, 6.270, 0.000], [0.000, 0.000, 6.270]], "species": ["Zr", "Zr", "Zr", "Zr", "Mn", "Mn", "Mn", "Mn", "Ga", "Ga", "Ga", "Ga", "Ga", "Ga", "Ga", "Ga"], "frac_coords": [[0.000, 0.000, 0.000], [0.000, 0.500, 0.500], [0.500, 0.000, 0.500], [0.500, 0.500, 0.000], [0.000, 0.000, 0.500], [0.000, 0.500, 0.000], [0.500, 0.000, 0.000], [0.500, 0.500, 0.500], [0.250, 0.250, 0.250], [0.250, 0.250, 0.750], [0.250, 0.750, 0.250], [0.250, 0.750, 0.750], [0.750, 0.250, 0.250], [0.750, 0.250, 0.750], [0.750, 0.750, 0.250], [0.750, 0.750, 0.750]], "m_tot_mub_per_atom": 0.00, "e_form_ev_per_atom": -0.0905}

=====

Record 20
{"formula": "ZrMnGa2", "functional": "PBE-GGA", "state": "optimized geometry", "lattice": [[4.165, 0.000, 0.000], [-2.083, 3.607, 0.000], [0.000, 0.000, 13.653]], "species": ["Zr", "Zr", "Zr", "Mn", "Mn", "Mn", "Ga", "Ga", "Ga", "Ga", "Ga", "Ga"], "frac_coords": [[0.000, 0.000, 0.000], [0.333, 0.667, 0.667], [0.667, 0.333, 0.333], [0.000, 0.000, 0.500], [0.333, 0.667, 0.167], [0.667, 0.333, 0.833], [0.000, 0.000, 0.226], [0.000, 0.000, 0.774], [0.333, 0.667, 0.440], [0.333, 0.667, 0.893], [0.667, 0.333, 0.107], [0.667, 0.333, 0.560]], "m_tot_mub_per_atom": 0.65, "e_form_ev_per_atom": -0.2739}

=====

Record 21
{"formula": "ZrMnGa2", "functional": "PBE-GGA", "state": "optimized geometry", "lattice": [[2.989, 0.000, 0.000], [0.000, 2.989, 0.000], [0.000, 0.000, 7.324]], "species": ["Zr", "Mn", "Ga", "Ga"], "frac_coords": [[0.000, 0.000, 0.000], [0.000, 0.000, 0.500], [0.500, 0.500, 0.279], [0.500, 0.500, 0.721]], "m_tot_mub_per_atom": 0.74, "e_form_ev_per_atom": -0.2783}

=====

Record 22
{"formula": "ZrMn5Ga7", "functional": "PBE-GGA", "state": "optimized geometry", "lattice": [[-2.564, 4.286, 4.297], [2.564, -4.286, 4.297], [2.564, 4.286, -4.297]], "species": ["Zr", "Mn", "Mn", "Mn", "Mn", "Mn", "Ga", "Ga", "Ga", "Ga", "Ga", "Ga", "Ga"], "frac_coords": [[0.000, 0.000, 0.000], [0.008, 0.001, 0.495], [0.008, 0.513, 0.006], [0.507, 0.001, 0.994], [0.507, 0.513, 0.505], [0.768, 0.268, 0.500], [0.194, 0.500, 0.695], [0.240, 0.740, 0.500], [0.337, 0.337, 0.000], [0.352, 0.017, 0.335], [0.677, 0.677, 0.000], [0.682, 0.017, 0.665], [0.805, 0.500, 0.305]], "m_tot_mub_per_atom": 0.67, "e_form_ev_per_atom": -0.2186}

=====

Record 23
{"formula": "ZrMnGa", "functional": "PBE-GGA", "state": "optimized geometry", "lattice": [[3.619, 0.000, 0.000], [0.000, 10.111, 0.000], [0.000, 0.000, 5.501]], "species": ["Zr", "Zr", "Zr", "Zr", "Mn", "Mn", "Mn", "Mn", "Ga", "Ga", "Ga", "Ga"], "frac_coords": [[0.000, 0.187, 0.250], [0.000, 0.813, 0.750], [0.500, 0.313, 0.750], [0.500, 0.687, 0.250], [0.000, 0.500, 0.000], [0.000, 0.500, 0.500], [0.500, 0.000, 0.000], [0.500, 0.000, 0.500], [0.000, 0.103, 0.750], [0.000, 0.897, 0.250], [0.500, 0.397, 0.250], [0.500, 0.603, 0.750]], "m_tot_mub_per_atom": 0.59, "e_form_ev_per_atom": -0.3317}

=====

Record 24
{"formula": "Zr8MnGa2", "functional": "PBE-GGA", "state": "optimized geometry", "lattice": [[-2.493, 3.212, 7.046], [2.493, -3.212, 7.046], [2.493, 3.212, -7.046]], "species": ["Zr", "Zr", "Zr", "Zr", "Zr", "Zr", "Zr", "Zr", "Mn", "Ga", "Ga"], "frac_coords": [[0.131, 0.367, 0.763], [0.182, 0.182, 0.000], [0.256, 0.000, 0.256], [0.396, 0.633, 0.763], [0.604, 0.367, 0.237], [0.744, 0.000, 0.744], [0.818, 0.818, 0.000], [0.869, 0.633, 0.237], [0.000, 0.500, 0.500], [0.313, 0.813, 0.500], [0.687, 0.187, 0.500]], "m_tot_mub_per_atom": 0.00, "e_form_ev_per_atom": -0.1928}

=====

Record 25
{"formula": "Zr2MnGa2", "functional": "PBE-GGA", "state": "optimized geometry", "lattice": [[3.940, 0.000, 0.000], [0.000, 3.940, 0.000], [0.000, 0.000, 12.558]], "species": ["Zr", "Zr", "Zr", "Zr", "Mn", "Mn", "Ga", "Ga", "Ga", "Ga"], "frac_coords": [[0.000, 0.500, 0.250], [0.000, 0.500, 0.750], [0.500, 0.000, 0.250], [0.500, 0.000, 0.750], [0.000, 0.000, 0.000], [0.500, 0.500, 0.500], [0.000, 0.000, 0.409], [0.000, 0.000, 0.591], [0.500, 0.500, 0.091], [0.500, 0.500, 0.909]], "m_tot_mub_per_atom": 0.01, "e_form_ev_per_atom": 0.4754, "relative_energy_ev_per_fu": 4.440}